19
Lattice="4.596 2.654 4.476 -4.596 2.654 4.476 0.000 -5.307 4.476" Properties=species:S:1:pos:R:3 comment="PBE Th2Zn15Cd2, optimized geometry" formation_enthalpy_0k_ev_per_atom=-0.1862 dos_at_fermi_per_ev_atom=0.38 pbc="T T T"
Th 0.000 0.000 2.101
Th 0.000 0.000 11.328
Zn -2.298 -1.327 4.476
Zn 0.000 -2.747 4.282
Zn -2.379 1.374 4.282
Zn -1.370 -2.374 6.715
Zn -2.741 0.000 6.715
Zn -2.379 -1.374 9.147
Zn -2.298 1.327 8.953
Zn 1.370 -2.374 6.715
Zn 0.000 2.654 4.476
Zn -1.370 2.374 6.715
Zn 2.379 1.374 4.282
Zn 2.741 0.000 6.715
Zn 1.370 2.374 6.715
Zn 2.379 -1.374 9.147
Zn 0.000 2.747 9.147
Cd 0.000 0.000 5.315
Cd 0.000 0.000 8.114


16
Lattice="6.310 0.000 0.000 0.000 6.310 0.000 0.000 0.000 6.310" Properties=species:S:1:pos:R:3 comment="PBE AgIr2W, optimized geometry" formation_enthalpy_0k_ev_per_atom=0.3213 dos_at_fermi_per_ev_atom=1.57 relative_energy_kcal_per_mol_atoms=7.35 pbc="T T T"
Ag 0.000 0.000 0.000
Ag 0.000 3.155 3.155
Ag 3.155 0.000 3.155
Ag 3.155 3.155 0.000
Ir 1.577 1.577 1.577
Ir 1.577 1.577 4.732
Ir 1.577 4.732 1.577
Ir 1.577 4.732 4.732
Ir 4.732 1.577 1.577
Ir 4.732 1.577 4.732
Ir 4.732 4.732 1.577
Ir 4.732 4.732 4.732
W 0.000 0.000 3.155
W 0.000 3.155 0.000
W 3.155 0.000 0.000
W 3.155 3.155 3.155